Record 1
The following is a PBE-GGA calculation of a relaxed structure of La3PbS, from Alexandria.

Lattice parameters (Å, degrees): 5.4965 5.4965 5.4965 90.00 90.00 90.00
Fractional coordinates of all 5 atoms:
La1 0.0000 0.0000 0.5000
La2 0.0000 0.5000 0.0000
La3 0.5000 0.0000 0.0000
Pb1 0.5000 0.5000 0.5000
S1 0.0000 0.0000 0.0000

Calculated values
E_form (uncorrected) ... -0.994 eV/atom
E_tot ... -5.518 eV per atom
Mass density ... 6.560 Mg/m³
M_tot ... 0.00 μB per formula unit
Symmetry ... Pm-3m, No. 221



Record 2
The following is a PBE-GGA calculation of a relaxed structure of Ti6As2O, from Alexandria.

Lattice parameters (Å, degrees): 5.4281 5.4281 10.6177 90.00 90.00 90.00
Fractional coordinates of all 18 atoms:
Ti1 0.1887 0.1887 0.1356
Ti2 0.1887 0.1887 0.8644
Ti3 0.2201 0.2201 0.5000
Ti4 0.2799 0.7201 0.0000
Ti5 0.3113 0.6887 0.3644
Ti6 0.3113 0.6887 0.6356
Ti7 0.6887 0.3113 0.3644
Ti8 0.6887 0.3113 0.6356
Ti9 0.7201 0.2799 0.0000
Ti10 0.7799 0.7799 0.5000
Ti11 0.8113 0.8113 0.1356
Ti12 0.8113 0.8113 0.8644
As1 0.0000 0.0000 0.3254
As2 0.0000 0.0000 0.6746
As3 0.5000 0.5000 0.1746
As4 0.5000 0.5000 0.8254
O1 0.0000 0.0000 0.0000
O2 0.5000 0.5000 0.5000

Calculated values
E_form (uncorrected) ... -0.745 eV/atom
E_tot ... -7.593 eV per atom
Mass density ... 4.809 Mg/m³
M_tot ... 0.00 μB per formula unit
Symmetry ... P4_2/mnm, No. 136